Co2TeAs | Alexandria | GGA-PBEsol | optimized geometry; space-group type = I4/mmm (139); formation energy without anion corrections = 0.26 eV per atom; calculated volume = 57.9 Å³ per cell; mass density = 9.187 g/cm3
1.0
-3.185 -1.138 -2.640
4.076 -1.322 -0.860
-2.122 -1.729 3.304
Te Co As
1 2 1
direct
0.500 0.000 0.500
0.750 0.500 0.250
0.250 0.500 0.750
0.000 0.000 0.000